(1)
The following is a PBE calculation of a relaxed structure of YZn2Te, from Alexandria.

Computed properties:
Total magnetic moment = 0.000 μB/f.u.
DOS at the Fermi energy = 1.5 states/eV per cell
Final energy = -14.25 eV for the cell shown
Formation energy without anion corrections = -0.52 eV/atom

Unit cell a=4.0197 b=4.0168 c=5.9023 alpha=90.00 beta=90.19 gamma=90.00
With the nearest neighbours (Å) after each atom.
Sites, in units of the cell vectors:
Y (0.0000, 0.0000, 0.0000)  4 Zn 3.01-3.02, 4 Te 3.11
Zn (0.4969, 0.0000, 0.6187)  4 Zn 2.84, 2 Y 3.01-3.02, 2 Te 3.13
Zn (0.9969, 0.5000, 0.6184)  4 Zn 2.84, 2 Y 3.02, 2 Te 3.11-3.14
Te (0.5010, 0.5000, 0.2131)  4 Y 3.11, 4 Zn 3.11-3.14

(2)
The following is a PBE calculation of a relaxed structure of YZrTe2, from Alexandria.

Computed properties:
Total magnetic moment = 0.000 μB/f.u.
DOS at the Fermi energy = 1.0 states/eV per cell
Final energy = -25.43 eV for the cell shown
E above lowest polymorph = 0.0 meV per atom
Formation energy without anion corrections = -1.03 eV/atom

Unit cell a=3.9719 b=3.9719 c=7.1539 alpha=90.00 beta=90.00 gamma=90.00
With the nearest neighbours (Å) after each atom.
Sites, in units of the cell vectors:
Y (0.0000, 0.0000, 0.0000)  5 Te 3.01-3.12
Zr (0.5000, 0.5000, 0.2813)  5 Te 3.02-3.09
Te (0.0000, 0.0000, 0.4367)  4 Zr 3.02, 1 Y 3.12
Te (0.5000, 0.5000, 0.8488)  4 Y 3.01, 1 Zr 3.09

(3)
The following is a PBE calculation of a relaxed structure of YZrTe2, from Alexandria.

Computed properties:
Total magnetic moment = 0.000 μB/f.u.
DOS at the Fermi energy = 5.0 states/eV per cell
Final energy = -49.79 eV for the cell shown
E above lowest polymorph = 134.2 meV per atom
Formation energy without anion corrections = -0.90 eV/atom

Unit cell a=7.4026 b=4.2871 c=7.3249 alpha=90.00 beta=109.84 gamma=90.00
With the nearest neighbours (Å) after each atom.
Sites, in units of the cell vectors:
Y (0.0000, 0.0000, 0.0000)  6 Te 3.06
Y (0.5000, 0.5000, 0.0000)  6 Te 3.06
Zr (0.0000, 0.5000, 0.5000)  6 Te 2.97
Zr (0.5000, 0.0000, 0.5000)  6 Te 2.97
Te (0.2460, 0.0000, 0.7381)  3 Zr 2.97, 3 Y 3.06
Te (0.2540, 0.5000, 0.2619)  3 Zr 2.97, 3 Y 3.06
Te (0.7460, 0.5000, 0.7381)  3 Zr 2.97, 3 Y 3.06
Te (0.7540, 0.0000, 0.2619)  3 Zr 2.97, 3 Y 3.06

(4)
The following is a PBE calculation of a relaxed structure of YZrTe2, from Alexandria.

Computed properties:
Total magnetic moment = 0.782 μB/f.u.
DOS at the Fermi energy = 10.0 states/eV per cell
Final energy = -69.30 eV for the cell shown
E above lowest polymorph = 582.9 meV per atom
Formation energy without anion corrections = -0.45 eV/atom

Unit cell a=4.0495 b=4.0495 c=28.5386 alpha=90.00 beta=90.00 gamma=120.00
With the nearest neighbours (Å) after each atom.
Sites, in units of the cell vectors:
Y (0.0000, 0.0000, 0.0000)  6 Te 3.03
Y (0.3333, 0.6667, 0.6667)  6 Te 3.03
Y (0.6667, 0.3333, 0.3333)  6 Te 3.03
Zr (0.0000, 0.0000, 0.5000)  2 Te 2.83
Zr (0.3333, 0.6667, 0.1667)  2 Te 2.83
Zr (0.6667, 0.3333, 0.8333)  2 Te 2.83
Te (0.0000, 0.0000, 0.4009)  1 Zr 2.83, 3 Y 3.03
Te (0.0000, 0.0000, 0.5991)  1 Zr 2.83, 3 Y 3.03
Te (0.3333, 0.6667, 0.0675)  1 Zr 2.83, 3 Y 3.03
Te (0.3333, 0.6667, 0.2658)  1 Zr 2.83, 3 Y 3.03
Te (0.6667, 0.3333, 0.7342)  1 Zr 2.83, 3 Y 3.03
Te (0.6667, 0.3333, 0.9325)  1 Zr 2.83, 3 Y 3.03

(5)
The following is a PBE calculation of a relaxed structure of YZrTe3, from Alexandria.

Computed properties:
Total magnetic moment = 0.000 μB/f.u.
DOS at the Fermi energy = 4.3 states/eV per cell
Final energy = -59.71 eV for the cell shown
E above lowest polymorph = 0.0 meV per atom
Formation energy without anion corrections = -1.08 eV/atom

Unit cell a=7.2844 b=7.2844 c=7.2900 alpha=99.92 beta=99.92 gamma=120.26
With the nearest neighbours (Å) after each atom.
Sites, in units of the cell vectors:
Y (0.1686, 0.8314, 0.0000)  6 Te 3.03-3.08
Y (0.8314, 0.1686, 0.0000)  6 Te 3.03-3.08
Zr (0.3311, 0.6689, 0.5000)  6 Te 2.93-2.97
Zr (0.6689, 0.3311, 0.5000)  6 Te 2.93-2.97
Te (0.0877, 0.4033, 0.7357)  2 Zr 2.93-2.97, 2 Y 3.05-3.08
Te (0.2626, 0.2626, 0.2563)  2 Zr 2.93, 2 Y 3.03
Te (0.4033, 0.0877, 0.7357)  2 Zr 2.93-2.97, 2 Y 3.05-3.08
Te (0.5967, 0.9123, 0.2643)  2 Zr 2.93-2.97, 2 Y 3.05-3.08
Te (0.7374, 0.7374, 0.7437)  2 Zr 2.93, 2 Y 3.03
Te (0.9123, 0.5967, 0.2643)  2 Zr 2.93-2.97, 2 Y 3.05-3.08

(6)
The following is a PBE calculation of a relaxed structure of YZrTe2, from Alexandria.

Computed properties:
Total magnetic moment = 0.301 μB/f.u.
DOS at the Fermi energy = 8.6 states/eV per cell
Final energy = -48.62 eV for the cell shown
E above lowest polymorph = 280.1 meV per atom
Formation energy without anion corrections = -0.75 eV/atom

Unit cell a=3.8887 b=3.8887 c=15.0933 alpha=90.00 beta=90.00 gamma=90.00
With the nearest neighbours (Å) after each atom.
Sites, in units of the cell vectors:
Y (0.0000, 0.0000, 0.0000)  8 Te 3.23
Y (0.5000, 0.5000, 0.5000)  8 Te 3.23
Zr (0.0000, 0.5000, 0.7500)  4 Te 2.84
Zr (0.5000, 0.0000, 0.2500)  4 Te 2.84
Te (0.0000, 0.0000, 0.3873)  2 Zr 2.84
Te (0.0000, 0.0000, 0.6127)  2 Zr 2.84
Te (0.5000, 0.5000, 0.1127)  2 Zr 2.84
Te (0.5000, 0.5000, 0.8873)  2 Zr 2.84

(7)
The following is a PBE calculation of a relaxed structure of YZrTe2, from Alexandria.

Computed properties:
Total magnetic moment = 1.899 μB/f.u.
DOS at the Fermi energy = 7.3 states/eV per cell
Final energy = -47.26 eV for the cell shown
E above lowest polymorph = 450.5 meV per atom
Formation energy without anion corrections = -0.58 eV/atom

Unit cell a=4.2406 b=4.2406 c=12.1035 alpha=90.00 beta=90.00 gamma=90.00
With the nearest neighbours (Å) after each atom.
Sites, in units of the cell vectors:
Y (0.0000, 0.0000, 0.0000)  4 Te 3.00
Y (0.5000, 0.5000, 0.5000)  4 Te 3.00
Zr (0.0000, 0.5000, 0.7500)  4 Te 3.00
Zr (0.5000, 0.0000, 0.2500)  4 Te 3.00
Te (0.0000, 0.0000, 0.5000)  4 Y 3.00
Te (0.0000, 0.5000, 0.2500)  4 Zr 3.00
Te (0.5000, 0.0000, 0.7500)  4 Zr 3.00
Te (0.5000, 0.5000, 0.0000)  4 Y 3.00

(8)
The following is a PBE calculation of a relaxed structure of YZrTe2, from Alexandria.

Computed properties:
Total magnetic moment = 2.439 μB/f.u.
DOS at the Fermi energy = 10.9 states/eV per cell
Final energy = -87.76 eV for the cell shown
E above lowest polymorph = 872.7 meV per atom
Formation energy without anion corrections = -0.16 eV/atom

Unit cell a=7.5273 b=7.5273 c=7.5273 alpha=90.00 beta=90.00 gamma=90.00
With the nearest neighbours (Å) after each atom.
Sites, in units of the cell vectors:
Y (0.0000, 0.0000, 0.0000)  4 Te 3.26, 4 Zr 3.26
Y (0.0000, 0.5000, 0.5000)  4 Te 3.26, 4 Zr 3.26
Y (0.5000, 0.0000, 0.5000)  4 Te 3.26, 4 Zr 3.26
Y (0.5000, 0.5000, 0.0000)  4 Te 3.26, 4 Zr 3.26
Zr (0.2500, 0.2500, 0.2500)  4 Te 3.26, 4 Y 3.26
Zr (0.2500, 0.7500, 0.7500)  4 Te 3.26, 4 Y 3.26
Zr (0.7500, 0.2500, 0.7500)  4 Te 3.26, 4 Y 3.26
Zr (0.7500, 0.7500, 0.2500)  4 Te 3.26, 4 Y 3.26
Te (0.0000, 0.0000, 0.5000)  4 Zr 3.26, 4 Te 3.26
Te (0.0000, 0.5000, 0.0000)  4 Zr 3.26, 4 Te 3.26
Te (0.2500, 0.2500, 0.7500)  4 Te 3.26, 4 Y 3.26
Te (0.2500, 0.7500, 0.2500)  4 Te 3.26, 4 Y 3.26
Te (0.5000, 0.0000, 0.0000)  4 Zr 3.26, 4 Te 3.26
Te (0.5000, 0.5000, 0.5000)  4 Zr 3.26, 4 Te 3.26
Te (0.7500, 0.2500, 0.2500)  4 Te 3.26, 4 Y 3.26
Te (0.7500, 0.7500, 0.7500)  4 Te 3.26, 4 Y 3.26

(9)
The following is a PBE calculation of a relaxed structure of YZrTe2, from Alexandria.

Computed properties:
Total magnetic moment = 0.000 μB/f.u.
DOS at the Fermi energy = 15.3 states/eV per cell
Final energy = -71.42 eV for the cell shown
E above lowest polymorph = 406.3 meV per atom
Formation energy without anion corrections = -0.63 eV/atom

Unit cell a=3.8988 b=3.8988 c=29.3420 alpha=90.00 beta=90.00 gamma=120.00
With the nearest neighbours (Å) after each atom.
Sites, in units of the cell vectors:
Y (0.0000, 0.0000, 0.0000)  2 Te 3.03
Y (0.3333, 0.6667, 0.6667)  2 Te 3.03
Y (0.6667, 0.3333, 0.3333)  2 Te 3.03
Zr (0.0000, 0.0000, 0.5000)  6 Te 2.92
Zr (0.3333, 0.6667, 0.1667)  6 Te 2.92
Zr (0.6667, 0.3333, 0.8333)  6 Te 2.92
Te (0.0000, 0.0000, 0.1034)  3 Zr 2.92, 1 Y 3.03
Te (0.0000, 0.0000, 0.8966)  3 Zr 2.92, 1 Y 3.03
Te (0.3333, 0.6667, 0.5633)  3 Zr 2.92, 1 Y 3.03
Te (0.3333, 0.6667, 0.7701)  3 Zr 2.92, 1 Y 3.03
Te (0.6667, 0.3333, 0.2299)  3 Zr 2.92, 1 Y 3.03
Te (0.6667, 0.3333, 0.4367)  3 Zr 2.92, 1 Y 3.03

(10)
The following is a PBE calculation of a relaxed structure of YZrTe4, from Alexandria.

Computed properties:
Total magnetic moment = 0.000 μB/f.u.
DOS at the Fermi energy = 8.3 states/eV per cell
Final energy = -64.78 eV for the cell shown
E above lowest polymorph = 151.0 meV per atom
Formation energy without anion corrections = -0.80 eV/atom

Unit cell a=7.2761 b=7.3702 c=7.3180 alpha=90.00 beta=91.83 gamma=90.00
With the nearest neighbours (Å) after each atom.
Sites, in units of the cell vectors:
Y (0.0000, 0.0000, 0.0000)  6 Te 3.05-3.17
Y (0.0000, 0.5000, 0.5000)  6 Te 3.05-3.17
Zr (0.5000, 0.0000, 0.5000)  6 Te 2.88-2.97
Zr (0.5000, 0.5000, 0.0000)  6 Te 2.88-2.97
Te (0.1402, 0.1280, 0.3850)  1 Zr 2.88, 2 Y 3.05-3.11
Te (0.1402, 0.3720, 0.8850)  1 Zr 2.88, 2 Y 3.05-3.11
Te (0.3730, 0.6479, 0.3440)  2 Zr 2.92-2.97, 1 Y 3.17
Te (0.3730, 0.8521, 0.8440)  2 Zr 2.92-2.97, 1 Y 3.17
Te (0.6270, 0.1479, 0.1560)  2 Zr 2.92-2.97, 1 Y 3.17
Te (0.6270, 0.3521, 0.6560)  2 Zr 2.92-2.97, 1 Y 3.17
Te (0.8598, 0.6280, 0.1150)  1 Zr 2.88, 2 Y 3.05-3.11
Te (0.8598, 0.8720, 0.6150)  1 Zr 2.88, 2 Y 3.05-3.11

(11)
The following is a PBE calculation of a relaxed structure of YZrTe2, from Alexandria.

Computed properties:
Total magnetic moment = 0.000 μB/f.u.
DOS at the Fermi energy = 3.8 states/eV per cell
Final energy = -24.85 eV for the cell shown
E above lowest polymorph = 143.9 meV per atom
Formation energy without anion corrections = -0.89 eV/atom

Unit cell a=4.2753 b=5.8801 c=4.3277 alpha=90.00 beta=90.94 gamma=90.00
With the nearest neighbours (Å) after each atom.
Sites, in units of the cell vectors:
Y (0.0000, 0.0000, 0.0000)  6 Te 3.01-3.11
Zr (0.3869, 0.5000, 0.6268)  6 Te 3.01-3.12
Te (0.4930, 0.0000, 0.5079)  4 Y 3.01-3.11, 2 Zr 3.02
Te (0.8945, 0.5000, 0.1172)  4 Zr 3.01-3.12, 2 Y 3.02

(12)
The following is a PBE calculation of a relaxed structure of YZrTe2, from Alexandria.

Computed properties:
Total magnetic moment = 0.706 μB/f.u.
DOS at the Fermi energy = 15.9 states/eV per cell
Final energy = -92.77 eV for the cell shown
E above lowest polymorph = 559.3 meV per atom
Formation energy without anion corrections = -0.47 eV/atom

Unit cell a=6.6111 b=6.6111 c=13.7604 alpha=90.00 beta=90.00 gamma=90.00
With the nearest neighbours (Å) after each atom.
Sites, in units of the cell vectors:
Y (0.0000, 0.0000, 0.0000)  4 Te 2.97
Y (0.0000, 0.5000, 0.2500)  4 Te 2.97
Y (0.5000, 0.0000, 0.7500)  4 Te 2.97
Y (0.5000, 0.5000, 0.5000)  4 Te 2.97
Zr (0.0000, 0.0000, 0.5000)  4 Te 2.83
Zr (0.0000, 0.5000, 0.7500)  4 Te 2.83
Zr (0.5000, 0.0000, 0.2500)  4 Te 2.83
Zr (0.5000, 0.5000, 0.0000)  4 Te 2.83
Te (0.2313, 0.2500, 0.6250)  2 Zr 2.83, 2 Y 2.97
Te (0.2500, 0.7313, 0.8750)  2 Zr 2.83, 2 Y 2.97
Te (0.2500, 0.7687, 0.3750)  2 Zr 2.83, 2 Y 2.97
Te (0.2687, 0.2500, 0.1250)  2 Zr 2.83, 2 Y 2.97
Te (0.7313, 0.7500, 0.1250)  2 Zr 2.83, 2 Y 2.97
Te (0.7500, 0.2313, 0.3750)  2 Zr 2.83, 2 Y 2.97
Te (0.7500, 0.2687, 0.8750)  2 Zr 2.83, 2 Y 2.97
Te (0.7687, 0.7500, 0.6250)  2 Zr 2.83, 2 Y 2.97

(13)
The following is a PBE calculation of a relaxed structure of Y4ZrTe, from Alexandria.

Computed properties:
Total magnetic moment = 1.240 μB/f.u.
DOS at the Fermi energy = 9.6 states/eV per cell
Final energy = -35.68 eV for the cell shown
Formation energy without anion corrections = 0.31 eV/atom

Unit cell a=6.3619 b=6.3619 c=6.3619 alpha=60.00 beta=60.00 gamma=60.00
With the nearest neighbours (Å) after each atom.
Sites, in units of the cell vectors:
Y (0.1228, 0.1228, 0.1228)  6 Y 3.12-3.24
Y (0.1228, 0.1228, 0.6317)  6 Y 3.12-3.24
Y (0.1228, 0.6317, 0.1228)  6 Y 3.12-3.24
Y (0.6317, 0.1228, 0.1228)  6 Y 3.12-3.24
Zr (0.7500, 0.7500, 0.7500)  12 Y 3.72, 4 Te 3.90
Te (0.5000, 0.5000, 0.5000)  12 Y 3.74, 4 Zr 3.90